i.
A plane-wave DFT calculation with PBE-GGA was carried out for BeZnCo3 after structural relaxation.

abc: 3.878 3.878 3.878
angles: 90.00 90.00 90.00
Space group Pm-3m (No. 221)
Symmetry-distinct sites (fractional):
Be1 0.000 0.000 0.000
Zn1 0.500 0.500 0.500
Co1 0.000 0.000 0.500

ii.
A plane-wave DFT calculation with PBE-GGA was carried out for BeZnCo3 after structural relaxation.

abc: 4.283 4.283 4.283
angles: 90.00 90.00 90.00
Space group Pm-3m (No. 221)
Symmetry-distinct sites (fractional):
Be1 0.000 0.000 0.000
Zn1 0.500 0.500 0.500
Co1 0.000 0.500 0.500

Short version: ii is the least stable of them.

i.
A plane-wave DFT calculation with PBE-GGA was carried out for ZrBe2Co after structural relaxation.

abc: 2.921 3.503 5.050
angles: 90.00 106.67 90.00
Space group Pm (No. 6)
Symmetry-distinct sites (fractional):
Zr1 0.000 0.000 0.000
Be1 0.633 0.500 0.267
Be2 0.735 0.000 0.476
Co1 0.305 0.500 0.614

ii.
A plane-wave DFT calculation with PBE-GGA was carried out for ZrBe2Co after structural relaxation.

abc: 5.771 5.771 5.771
angles: 90.00 90.00 90.00
Space group Fm-3m (No. 225)
Symmetry-distinct sites (fractional):
Zr1 0.000 0.000 0.000
Be1 0.250 0.250 0.250
Co1 0.000 0.000 0.500

Short version: i is the least stable of them.

i.
A plane-wave DFT calculation with PBE-GGA was carried out for Zr2Be3Co after structural relaxation.

abc: 3.890 4.513 9.590
angles: 90.00 90.00 90.00
Space group Immm (No. 71)
Symmetry-distinct sites (fractional):
Zr1 0.000 0.000 0.210
Be1 0.000 0.500 0.102
Be2 0.000 0.500 0.500
Co1 0.000 0.000 0.500

ii.
A plane-wave DFT calculation with PBE-GGA was carried out for Zr2Be3Co after structural relaxation.

abc: 4.8251 4.8251 11.6939
angles: 90.00 90.00 120.00
Space group R-3m (No. 166, hexagonal axes)
Symmetry-distinct sites (fractional):
Zr1 0.0000 0.0000 0.1267
Be1 0.0000 0.5000 0.0000
Co1 0.0000 0.0000 0.5000

Short version: i is the least stable of them.

i.
A plane-wave DFT calculation with PBE-GGA was carried out for Zr2BeCo2 after structural relaxation.

abc: 8.888 5.301 6.512
angles: 90.00 106.07 90.00
Space group C2/c (No. 15)
Symmetry-distinct sites (fractional):
Zr1 0.154 0.125 0.154
Be1 0.000 0.335 0.750
Co1 0.121 0.373 0.493

ii.
A plane-wave DFT calculation with PBE-GGA was carried out for Zr2BeCo2 after structural relaxation.

abc: 3.672 5.194 7.772
angles: 90.00 90.00 90.00
Space group Immm (No. 71)
Symmetry-distinct sites (fractional):
Zr1 0.000 0.000 0.201
Be1 0.000 0.500 0.000
Co1 0.000 0.256 0.500

iii.
A plane-wave DFT calculation with PBE-GGA was carried out for Zr2BeCo2 after structural relaxation.

abc: 6.153 6.153 3.968
angles: 90.00 90.00 90.00
Space group P4/mbm (No. 127)
Symmetry-distinct sites (fractional):
Zr1 0.181 0.319 0.000
Be1 0.000 0.000 0.500
Co1 0.132 0.632 0.500

Short version: iii is the least stable of them.